# DyYNi, optimized geometry, DFT PBE-GGA
data_DyYNi
_chemical_formula_sum 'Dy1 Y1 Ni1'
_space_group_name_H-M_alt 'P 1'
_space_group_IT_number 1
_cell_length_a 4.750
_cell_length_b 4.750
_cell_length_c 4.750
_cell_angle_alpha 60.00
_cell_angle_beta 60.00
_cell_angle_gamma 60.00
loop_
_space_group_symop_operation_xyz
'x,y,z'
loop_
_atom_site_label
_atom_site_type_symbol
_atom_site_fract_x
_atom_site_fract_y
_atom_site_fract_z
_atom_site_occupancy
Dy1 Dy 0.000 0.000 0.000 1
Y1 Y 0.500 0.500 0.500 1
Ni1 Ni 0.250 0.250 0.250 1
# raw total energy = -17.29 eV/cell
# polymorph energy (0 for the lowest one) = 0.154 eV per atom
# ΔE_f = -146.0 meV per atom